# Y2TaCu2 PBE relaxed
# DFT total energy	-6.450	eV per atom
# E_form	144.6	meV per atom
# total moment	1.30	μB/cell
data_Y2TaCu2
_cell_length_a 7.784
_cell_length_b 7.784
_cell_length_c 3.389
_cell_angle_alpha 90.00
_cell_angle_beta 90.00
_cell_angle_gamma 90.00
_space_group_name_H-M_alt 'P 4/m b m'
_space_group_IT_number 127
_space_group_name_Hall '-P 4 2ab'
loop_
_atom_site_label
_atom_site_fract_x
_atom_site_fract_y
_atom_site_fract_z
Y1 0.176 0.324 0.000
Ta1 0.000 0.000 0.500
Cu1 0.121 0.621 0.500